Entry from the Alexandria database: a relaxed structure of SrZnCr2F8 (PBE+U).

a = 4.723 Å, b = 7.121 Å, c = 5.088 Å
α = 90.00°, β = 92.59°, γ = 90.00°
Space group P2/m (No. 10)
Unique sites:
Sr  0.000  0.000  0.000 [1 per cell]
Zn  0.000  0.500  0.000 [1 per cell]
Cr  0.500  0.266  0.500 [2 per cell]
F  0.184  0.280  0.221 [4 per cell]
F  0.308  0.500  0.719 [2 per cell]
F  0.366  0.000  0.702 [2 per cell]

Results
Total energy   -5.535 eV per atom
Fermi-level density of states   0.00 states/eV/atom
Spin magnetization   0.667 μB/atom
Crystal system   monoclinic